Entry 1:
# YIr4Pt (PBE, relaxed)
# DOS(E_F) in states/eV per cell: 47.3
# Magnetization in μB per formula unit: 0.001
# Formation energy from the elements in eV/atom: -0.189
data_YIr4Pt
_chemical_formula_sum 'Y4 Ir16 Pt4'
_cell_length_a 7.437
_cell_length_b 7.437
_cell_length_c 7.437
_cell_angle_alpha 90.00
_cell_angle_beta 90.00
_cell_angle_gamma 90.00
_symmetry_space_group_name_H-M 'F -4 3 m'
_symmetry_Int_Tables_number 216
_symmetry_space_group_name_Hall 'F -4 2 3'
loop_
_atom_site_label
_atom_site_type_symbol
_atom_site_fract_x
_atom_site_fract_y
_atom_site_fract_z
Y1 Y 0.000 0.000 0.000
Ir1 Ir 0.124 0.124 0.624
Pt1 Pt 0.250 0.250 0.250

=====

Entry 2:
# YTm3Tl4 (PBE, relaxed)
# DOS(E_F) in states/eV per cell: 12.0
# Magnetization in μB per formula unit: 0.000
# Formation energy from the elements in eV/atom: -0.313
data_YTm3Tl4
_chemical_formula_sum 'Y2 Tm6 Tl8'
_cell_length_a 10.729
_cell_length_b 7.434
_cell_length_c 5.364
_cell_angle_alpha 90.00
_cell_angle_beta 90.00
_cell_angle_gamma 90.00
_symmetry_space_group_name_H-M 'P m m a'
_symmetry_Int_Tables_number 51
_symmetry_space_group_name_Hall '-P 2a 2a'
loop_
_atom_site_label
_atom_site_type_symbol
_atom_site_fract_x
_atom_site_fract_y
_atom_site_fract_z
Y1 Y 0.000 0.000 0.000
Tm1 Tm 0.000 0.500 0.000
Tm2 Tm 0.250 0.000 0.499
Tm3 Tm 0.250 0.500 0.499
Tl1 Tl 0.000 0.253 0.500
Tl2 Tl 0.250 0.253 0.999

=====

Entry 3:
# LiVOs2 (PBE, relaxed)
# DOS(E_F) in states/eV per cell: 10.0
# Magnetization in μB per formula unit: 0.000
# Formation energy from the elements in eV/atom: 0.361
data_LiVOs2
_chemical_formula_sum 'Li3 V3 Os6'
_cell_length_a 2.6783
_cell_length_b 2.6783
_cell_length_c 27.9500
_cell_angle_alpha 90.00
_cell_angle_beta 90.00
_cell_angle_gamma 120.00
_symmetry_space_group_name_H-M 'R -3 m'
_symmetry_Int_Tables_number 166
_symmetry_space_group_name_Hall '-R 3 2"'
loop_
_atom_site_label
_atom_site_type_symbol
_atom_site_fract_x
_atom_site_fract_y
_atom_site_fract_z
Li1 Li 0.0000 0.0000 0.0000
V1 V 0.0000 0.0000 0.5000
Os1 Os 0.0000 0.0000 0.4148

=====

Entry 4:
# NdGdPb (PBE, relaxed)
# DOS(E_F) in states/eV per cell: 6.1
# Magnetization in μB per formula unit: 8.433
# Formation energy from the elements in eV/atom: -0.356
# Offset from the most stable computed form in eV per formula unit: 0.00
data_NdGdPb
_chemical_formula_sum 'Nd2 Gd2 Pb2'
_cell_length_a 4.198
_cell_length_b 4.198
_cell_length_c 10.356
_cell_angle_alpha 90.00
_cell_angle_beta 90.00
_cell_angle_gamma 90.00
_symmetry_space_group_name_H-M 'I 4 m m'
_symmetry_Int_Tables_number 107
_symmetry_space_group_name_Hall 'I 4 -2'
loop_
_atom_site_label
_atom_site_type_symbol
_atom_site_fract_x
_atom_site_fract_y
_atom_site_fract_z
Nd1 Nd 0.000 0.000 0.000
Gd1 Gd 0.000 0.000 0.311
Pb1 Pb 0.000 0.000 0.659

=====

Entry 5:
# KIr4Se8 (PBE, relaxed)
# DOS(E_F) in states/eV per cell: 13.8
# Magnetization in μB per formula unit: 0.000
# E_form (uncorrected) in eV/atom: -0.456
data_KIr4Se8
_chemical_formula_sum 'K2 Ir8 Se16'
_cell_length_a 16.259
_cell_length_b 3.820
_cell_length_c 11.510
_cell_angle_alpha 90.00
_cell_angle_beta 126.84
_cell_angle_gamma 90.00
_symmetry_space_group_name_H-M 'C 1 m 1'
_symmetry_Int_Tables_number 8
_symmetry_space_group_name_Hall 'C -2y'
loop_
_atom_site_label
_atom_site_type_symbol
_atom_site_fract_x
_atom_site_fract_y
_atom_site_fract_z
K1 K 0.000 0.000 0.000
Ir1 Ir 0.134 0.000 0.464
Ir2 Ir 0.160 0.500 0.819
Ir3 Ir 0.339 0.000 0.179
Ir4 Ir 0.365 0.500 0.534
Se1 Se 0.042 0.000 0.765
Se2 Se 0.103 0.500 0.570
Se3 Se 0.172 0.500 0.355
Se4 Se 0.213 0.500 0.080
Se5 Se 0.285 0.000 0.919
Se6 Se 0.327 0.000 0.644
Se7 Se 0.396 0.000 0.429
Se8 Se 0.457 0.500 0.233

=====

Entry 6:
# KAgGePt (PBE, relaxed)
# DOS(E_F) in states/eV per cell: 2.3
# Magnetization in μB per formula unit: 0.000
# Formation energy from the elements in eV/atom: -0.247
data_KAgGePt
_chemical_formula_sum 'K2 Ag2 Ge2 Pt2'
_cell_length_a 4.047
_cell_length_b 4.047
_cell_length_c 12.515
_cell_angle_alpha 90.00
_cell_angle_beta 90.00
_cell_angle_gamma 90.00
_symmetry_space_group_name_H-M 'P 4/n m m'
_symmetry_Int_Tables_number 129
loop_
_symmetry_equiv_pos_as_xyz
'x,y,z'
'-x,-y,-z'
'-y+1/2,x,z'
'y+1/2,-x,-z'
'-x+1/2,-y+1/2,z'
'x+1/2,y+1/2,-z'
'y,-x+1/2,z'
'-y,x+1/2,-z'
'x+1/2,-y,-z'
'-x+1/2,y,z'
'-y,-x,-z'
'y,x,z'
'-x,y+1/2,-z'
'x,-y+1/2,z'
'y+1/2,x+1/2,-z'
'-y+1/2,-x+1/2,z'
loop_
_atom_site_label
_atom_site_type_symbol
_atom_site_fract_x
_atom_site_fract_y
_atom_site_fract_z
K1 K 0.250 0.250 0.230
Ag1 Ag 0.250 0.750 0.000
Ge1 Ge 0.250 0.250 0.620
Pt1 Pt 0.250 0.750 0.500

=====

The lowest DOS(E_F) belongs to which entry?
KAgGePt